DFT (PBE) results for a relaxed KMgTe3 crystal.

abc: 5.9505 5.9505 5.9505
angles: 90.00 90.00 90.00
With the nearest neighbours (Å) after each atom.
Sites, in units of the cell vectors:
K: 0.0000 0.0000 0.0000  6 Te 2.98
Mg: 0.5000 0.5000 0.5000  12 Te 4.21
Te: 0.0000 0.0000 0.5000  2 K 2.98
Te: 0.0000 0.5000 0.0000  2 K 2.98
Te: 0.5000 0.0000 0.0000  2 K 2.98

Output
DFT total energy ... -1.733 eV per atom
Fermi-level density of states ... 6.625 states/eV/f.u.
Uncorrected formation energy ... 691 meV per atom
Space group ... Pm-3m, No. 221
Size of the total moment ... 0.00 μB per atom

DFT (PBE) results for a relaxed KMg3Te crystal.

abc: 5.8133 5.8133 5.8133
angles: 90.00 90.00 90.00
With the nearest neighbours (Å) after each atom.
Sites, in units of the cell vectors:
K: 0.0000 0.0000 0.0000  12 Mg 4.11
Mg: 0.0000 0.5000 0.5000  2 Te 2.91
Mg: 0.5000 0.0000 0.5000  2 Te 2.91
Mg: 0.5000 0.5000 0.0000  2 Te 2.91
Te: 0.5000 0.5000 0.5000  6 Mg 2.91

Output
DFT total energy ... -1.591 eV per atom
Fermi-level density of states ... 4.062 states/eV/f.u.
Uncorrected formation energy ... 213 meV per atom
Space group ... Pm-3m, No. 221
Size of the total moment ... 0.00 μB per atom